5
Lattice="-0.646 -2.507 -3.574 4.364 -0.472 -0.458 -0.140 -4.123 2.917" Properties=species:S:1:pos:R:3 comment="CsAlN2F | the Alexandria database | PBE-GGA | optimized geometry" crystal_system=tetragonal raw_formation_energy_ev_per_atom=1.68 polymorph_energy_ev_per_atom=1.9723 n_ef_per_ev_cell=4.15 vol_a3_per_cell=98.43 pbc="T T T"
N 2.182 -0.236 -0.229
N -0.323 -1.253 -1.787
Al 1.789 -3.551 -0.558
F -0.070 -2.062 1.459
Cs 0.000 0.000 0.000



4
Lattice="6.571 0.371 0.997 -2.709 3.522 -0.219 1.153 1.083 2.913" Properties=species:S:1:pos:R:3 comment="BeIn2Ni | the Alexandria database | PBE-GGA | optimized geometry" crystal_system=monoclinic polymorph_energy_ev_per_atom=0.2203 n_ef_per_ev_cell=1.64 vol_a3_per_cell=64.83 ef_ev_per_atom=0.2856 pbc="T T T"
Be 1.931 1.946 0.389
In 0.000 0.000 0.000
In 3.862 0.727 1.955
Ni -0.778 2.302 1.347



4
Lattice="-1.031 -0.565 3.575 3.751 -1.737 0.807 1.529 3.785 1.038" Properties=species:S:1:pos:R:3 comment="CuTePd2 | the Alexandria database | PBE-GGA | optimized geometry" crystal_system=tetragonal raw_formation_energy_ev_per_atom=-0.13 n_ef_per_ev_cell=2.95 vol_a3_per_cell=66.76 pbc="T T T"
Pd 0.764 1.892 0.519
Pd 1.876 -0.868 0.404
Te 2.125 0.742 2.710
Cu -0.515 -0.282 1.787



5
Lattice="7.198 0.000 0.000 0.000 7.198 0.000 0.000 0.000 4.887" Properties=species:S:1:pos:R:3 comment="Rb2ScNbZn | the Alexandria database | PBE-GGA | optimized geometry" crystal_system=tetragonal n_ef_per_ev_cell=6.84 vol_a3_per_cell=253.21 ef_ev_per_atom=1.3138 pbc="T T T"
Rb 0.000 3.599 0.000
Rb 3.599 0.000 0.000
Sc 0.000 0.000 0.000
Zn 3.599 3.599 2.444
Nb 0.000 0.000 2.444